1.
## IrAu2 (PBEsol)

Data for a geometry-optimized IrAu2 structure.

Lattice parameters (Å, degrees): 5.0918 5.1686 5.1686 75.96 60.49 60.49
Last column: nearest neighbours and their distance in Å.
Element x y z (fractional)
Au1 0.6593 0.5000 0.1814  4 Ir 2.71, 3 Au 2.87-3.02
Au2 0.1593 0.1814 0.5000  4 Ir 2.71, 3 Au 2.87-3.02
Au3 0.8407 0.8186 0.5000  4 Ir 2.71, 3 Au 2.87-3.02
Au4 0.3407 0.5000 0.8186  4 Ir 2.71, 3 Au 2.87-3.02
Ir1 0.7500 0.0000 0.0000  2 Ir 2.55, 8 Au 2.71
Ir2 0.2500 0.0000 0.0000  2 Ir 2.55, 8 Au 2.71

Formation enthalpy at 0 K: 0.48 eV per atom
E_tot: -5.42 eV per atom
M_tot: 0.00 μB per cell
Crystal system: tetragonal

***

2.
## K2IrAu (PBEsol)

Data for a geometry-optimized K2IrAu structure.

Lattice parameters (Å, degrees): 4.0425 4.0425 5.1280 90.00 90.00 90.00
Last column: nearest neighbours and their distance in Å.
Element x y z (fractional)
Au1 0.5000 0.5000 0.5000  4 Ir 2.86
Ir1 0.0000 0.0000 0.5000  4 Au 2.86
K1 0.0000 0.5000 0.0000  4 K 2.86
K2 0.5000 0.0000 0.0000  4 K 2.86

Formation enthalpy at 0 K: 0.64 eV per atom
E_tot: -3.37 eV per atom
M_tot: 0.00 μB per cell
Crystal system: tetragonal

***

3.
## KTa2IrAu (PBEsol)

Data for a geometry-optimized KTa2IrAu structure.

Lattice parameters (Å, degrees): 4.9237 4.9237 5.0834 90.00 90.00 90.00
Last column: nearest neighbours and their distance in Å.
Element x y z (fractional)
K1 0.5000 0.5000 0.5000  4 Ir 3.48, 8 Ta 3.54
Ir1 0.0000 0.0000 0.5000  2 Au 2.54
Au1 0.0000 0.0000 0.0000  4 Ta 2.46, 2 Ir 2.54
Ta1 0.0000 0.5000 0.0000  2 Au 2.46
Ta2 0.5000 0.0000 0.0000  2 Au 2.46

Formation enthalpy at 0 K: 1.91 eV per atom
E_tot: -6.09 eV per atom
M_tot: 0.00 μB per cell
Crystal system: tetragonal

***

4.
## KTaIr2Au (PBEsol)

Data for a geometry-optimized KTaIr2Au structure.

Lattice parameters (Å, degrees): 4.4723 4.5624 4.5624 90.00 90.00 90.00
Last column: nearest neighbours and their distance in Å.
Element x y z (fractional)
K1 0.0000 0.0000 0.0000  2 Ta 2.24, 4 Ir 2.28
Ir1 0.0000 0.0000 0.5000  2 K 2.28
Ir2 0.0000 0.5000 0.0000  2 K 2.28
Au1 0.5000 0.5000 0.5000  8 Ir 3.19, 4 Ta 3.23
Ta1 0.5000 0.0000 0.0000  2 K 2.24

Formation enthalpy at 0 K: 3.01 eV per atom
E_tot: -4.44 eV per atom
M_tot: 0.00 μB per cell
Crystal system: tetragonal

***

5.
## KZn2IrAu (PBEsol)

Data for a geometry-optimized KZn2IrAu structure.

Lattice parameters (Å, degrees): 4.6714 4.9202 4.9202 90.00 90.00 90.00
Last column: nearest neighbours and their distance in Å.
Element x y z (fractional)
Zn1 0.0000 0.0000 0.5000  2 K 2.46
Zn2 0.0000 0.5000 0.0000  2 K 2.46
Ir1 0.5000 0.0000 0.0000  2 K 2.34
Au1 0.5000 0.5000 0.5000  8 Zn 3.39, 4 Ir 3.48
K1 0.0000 0.0000 0.0000  2 Ir 2.34, 4 Zn 2.46

Formation enthalpy at 0 K: 2.09 eV per atom
E_tot: -1.52 eV per atom
M_tot: 0.00 μB per cell
Crystal system: tetragonal

***

6.
## LaIrAu2 (PBEsol)

Data for a geometry-optimized LaIrAu2 structure.

Lattice parameters (Å, degrees): 2.9398 2.9398 10.0905 81.62 81.62 60.00
Last column: nearest neighbours and their distance in Å.
Element x y z (fractional)
Au1 0.2413 0.2413 0.2760  3 Ir 2.80, 6 Au 2.94
Au2 0.7587 0.7587 0.7240  3 Ir 2.80, 6 Au 2.94
Ir1 0.5000 0.5000 0.5000  6 Au 2.80, 6 Ir 2.94
La1 0.0000 0.0000 0.0000  6 La 2.94, 6 Au 3.23

Formation enthalpy at 0 K: 0.29 eV per atom
E_tot: -5.46 eV per atom
M_tot: 0.00 μB per cell
Distance to the lowest polymorph of the same formula: 610 meV/atom
Crystal system: trigonal